Record 1
Cd3Ag8 after structural relaxation, computed with PBE.

Output
total moment	0.000	μB per formula unit
offset from the most stable computed form	0	meV per atom
formation energy from the elements	-0.77	kcal/mol of atoms

CIF file:
```
data_Cd3Ag8
_chemical_formula_sum 'Cd6 Ag16'
_cell_length_a 9.3369
_cell_length_b 4.1830
_cell_length_c 10.9212
_cell_angle_alpha 90.00
_cell_angle_beta 106.10
_cell_angle_gamma 90.00
_space_group_name_H-M_alt 'C 1 2/m 1'
_space_group_IT_number 12
_space_group_name_Hall '-C 2y'
loop_
_atom_site_label
_atom_site_type_symbol
_atom_site_fract_x
_atom_site_fract_y
_atom_site_fract_z
Cd1 Cd 0.0000 0.0000 0.0000
Cd2 Cd 0.0941 0.0000 0.6396
Ag1 Ag 0.0453 0.5000 0.8182
Ag2 Ag 0.1364 0.5000 0.4539
Ag3 Ag 0.1813 0.0000 0.2719
Ag4 Ag 0.2267 0.5000 0.0897
```

Record 2
Mo2PBr after structural relaxation, computed with PBE.

Output
formation energy from raw total energies	0.76	eV/atom
total moment	0.000	μB per formula unit
offset from the most stable computed form	719	meV per atom

CIF file:
```
data_Mo2PBr
_chemical_formula_sum 'Mo4 P2 Br2'
_cell_length_a 6.1319
_cell_length_b 8.0675
_cell_length_c 3.1311
_cell_angle_alpha 90.00
_cell_angle_beta 120.33
_cell_angle_gamma 90.00
_space_group_name_H-M_alt 'C 1 2/m 1'
_space_group_IT_number 12
_space_group_name_Hall '-C 2y'
loop_
_atom_site_label
_atom_site_type_symbol
_atom_site_fract_x
_atom_site_fract_y
_atom_site_fract_z
Mo1 Mo 0.2500 0.2500 0.0000
P1 P 0.0000 0.0000 0.5000
Br1 Br 0.0000 0.5000 0.5000
```

Record 3
NdPdAu3 after structural relaxation, computed with PBE.

Output
total moment	0.000	μB per formula unit
offset from the most stable computed form	242	meV per atom
formation energy from the elements	-5.90	kcal/mol of atoms

CIF file:
```
data_NdPdAu3
_chemical_formula_sum 'Nd4 Pd4 Au12'
_cell_length_a 5.2872
_cell_length_b 5.2872
_cell_length_c 18.5656
_cell_angle_alpha 90.00
_cell_angle_beta 90.00
_cell_angle_gamma 90.00
_space_group_name_H-M_alt 'I -4 m 2'
_space_group_IT_number 119
_space_group_name_Hall 'I -4 -2'
loop_
_atom_site_label
_atom_site_type_symbol
_atom_site_fract_x
_atom_site_fract_y
_atom_site_fract_z
Nd1 Nd 0.0000 0.0000 0.1723
Pd1 Pd 0.0000 0.0000 0.5000
Pd2 Pd 0.0000 0.5000 0.7500
Au1 Au 0.0000 0.2479 0.6239
Au2 Au 0.0000 0.5000 0.0773
```

Record 4
Ac5Pm2Nd4 after structural relaxation, computed with PBE.

Output
total moment	0.000	μB per formula unit
formation energy from the elements	3.31	kcal/mol of atoms

CIF file:
```
data_Ac5Pm2Nd4
_chemical_formula_sum 'Ac5 Pm2 Nd4'
_cell_length_a 9.3876
_cell_length_b 3.7214
_cell_length_c 12.6492
_cell_angle_alpha 90.00
_cell_angle_beta 92.22
_cell_angle_gamma 90.00
_space_group_name_H-M_alt 'P 1 2/m 1'
_space_group_IT_number 10
_space_group_name_Hall '-P 2y'
loop_
_atom_site_label
_atom_site_type_symbol
_atom_site_fract_x
_atom_site_fract_y
_atom_site_fract_z
Ac1 Ac 0.0000 0.0000 0.0000
Ac2 Ac 0.1982 0.0000 0.5258
Ac3 Ac 0.2814 0.0000 0.8161
Pm1 Pm 0.3503 0.0000 0.1189
Nd1 Nd 0.0756 0.5000 0.2677
Nd2 Nd 0.4624 0.5000 0.3558
```

Record 5
BeVSeN2 after structural relaxation, computed with PBE.

Output
formation energy from raw total energies	0.89	eV/atom
total moment	1.118	μB per formula unit
offset from the most stable computed form	481	meV per atom

CIF file:
```
data_BeVSeN2
_chemical_formula_sum 'Be1 V1 Se1 N2'
_cell_length_a 3.4934
_cell_length_b 3.4934
_cell_length_c 5.0483
_cell_angle_alpha 90.00
_cell_angle_beta 90.00
_cell_angle_gamma 90.00
_space_group_name_H-M_alt 'P 4/m m m'
_space_group_IT_number 123
_space_group_name_Hall '-P 4 2'
loop_
_atom_site_label
_atom_site_type_symbol
_atom_site_fract_x
_atom_site_fract_y
_atom_site_fract_z
Be1 Be 0.0000 0.0000 0.0000
V1 V 0.5000 0.5000 0.5000
Se1 Se 0.0000 0.0000 0.5000
N1 N 0.0000 0.5000 0.0000
```

Record 6
NaCdF3 after structural relaxation, computed with PBE.

Output
formation energy from raw total energies	-2.42	eV/atom
total moment	0.000	μB per formula unit

CIF file:
```
data_NaCdF3
_chemical_formula_sum 'Na6 Cd6 F18'
_cell_length_a 5.8278
_cell_length_b 5.8278
_cell_length_c 15.3743
_cell_angle_alpha 90.00
_cell_angle_beta 90.00
_cell_angle_gamma 120.00
_space_group_name_H-M_alt 'R 3 c'
_space_group_IT_number 161
_space_group_name_Hall 'R 3 -2"c'
loop_
_atom_site_label
_atom_site_type_symbol
_atom_site_fract_x
_atom_site_fract_y
_atom_site_fract_z
Na1 Na 0.0000 0.0000 0.0000
Cd1 Cd 0.0000 0.0000 0.2107
F1 F 0.0449 0.3617 0.2775
```

Record 7
TbNd2DyS6 after structural relaxation, computed with PBE.

Output
formation energy from raw total energies	-2.04	eV/atom
total moment	0.000	μB per formula unit

CIF file:
```
data_TbNd2DyS6
_chemical_formula_sum 'Tb3 Nd6 Dy3 S18'
_cell_length_a 7.0691
_cell_length_b 7.0691
_cell_length_c 18.6598
_cell_angle_alpha 90.00
_cell_angle_beta 90.00
_cell_angle_gamma 120.00
_space_group_name_H-M_alt 'R 3'
_space_group_IT_number 146
_space_group_name_Hall 'R 3'
loop_
_atom_site_label
_atom_site_type_symbol
_atom_site_fract_x
_atom_site_fract_y
_atom_site_fract_z
Tb1 Tb 0.0000 0.0000 0.0000
Nd1 Nd 0.0000 0.0000 0.2941
Nd2 Nd 0.0000 0.0000 0.7943
Dy1 Dy 0.0000 0.0000 0.4997
S1 S 0.0453 0.6857 0.5682
S2 S 0.0459 0.3613 0.0685
```

Record 8
Na2Er2GeS6 after structural relaxation, computed with PBE.

Output
formation energy from raw total energies	-1.32	eV/atom
total moment	0.000	μB per formula unit

CIF file:
```
data_Na2Er2GeS6
_chemical_formula_sum 'Na4 Er4 Ge2 S12'
_cell_length_a 6.6587
_cell_length_b 11.4385
_cell_length_c 7.1143
_cell_angle_alpha 90.00
_cell_angle_beta 107.25
_cell_angle_gamma 90.00
_space_group_name_H-M_alt 'C 1 2/m 1'
_space_group_IT_number 12
_space_group_name_Hall '-C 2y'
loop_
_atom_site_label
_atom_site_type_symbol
_atom_site_fract_x
_atom_site_fract_y
_atom_site_fract_z
Na1 Na 0.0000 0.1671 0.0000
Er1 Er 0.0000 0.3313 0.5000
Ge1 Ge 0.0000 0.0000 0.5000
S1 S 0.2244 0.1552 0.7142
S2 S 0.2293 0.0000 0.2944
```

Record 9
Ba2LaCd after structural relaxation, computed with PBE.

Output
total moment	0.001	μB per formula unit
offset from the most stable computed form	247	meV per atom
formation energy from the elements	3.31	kcal/mol of atoms

CIF file:
```
data_Ba2LaCd
_chemical_formula_sum 'Ba8 La4 Cd4'
_cell_length_a 8.7577
_cell_length_b 8.7577
_cell_length_c 8.7577
_cell_angle_alpha 90.00
_cell_angle_beta 90.00
_cell_angle_gamma 90.00
_space_group_name_H-M_alt 'F m -3 m'
_space_group_IT_number 225
_space_group_name_Hall '-F 4 2 3'
loop_
_atom_site_label
_atom_site_type_symbol
_atom_site_fract_x
_atom_site_fract_y
_atom_site_fract_z
Ba1 Ba 0.2500 0.2500 0.2500
La1 La 0.0000 0.0000 0.0000
Cd1 Cd 0.0000 0.0000 0.5000
```

Record 10
Ba2Mg4GaSn3 after structural relaxation, computed with PBE.

Output
total moment	0.000	μB per formula unit
formation energy from the elements	-10.36	kcal/mol of atoms

CIF file:
```
data_Ba2Mg4GaSn3
_chemical_formula_sum 'Ba2 Mg4 Ga1 Sn3'
_cell_length_a 4.8661
_cell_length_b 4.8661
_cell_length_c 12.2127
_cell_angle_alpha 90.00
_cell_angle_beta 90.00
_cell_angle_gamma 90.00
_space_group_name_H-M_alt 'P -4 m 2'
_space_group_IT_number 115
_space_group_name_Hall 'P -4 -2'
loop_
_atom_site_label
_atom_site_type_symbol
_atom_site_fract_x
_atom_site_fract_y
_atom_site_fract_z
Ba1 Ba 0.0000 0.5000 0.2457
Mg1 Mg 0.0000 0.0000 0.5000
Mg2 Mg 0.0000 0.5000 0.8729
Mg3 Mg 0.5000 0.5000 0.5000
Ga1 Ga 0.5000 0.5000 0.0000
Sn1 Sn 0.0000 0.0000 0.0000
Sn2 Sn 0.0000 0.5000 0.6380
```

Record 11
NaSn2Pb4 after structural relaxation, computed with PBE.

Output
total moment	0.000	μB per formula unit
offset from the most stable computed form	9	meV per atom
formation energy from the elements	-0.16	kcal/mol of atoms

CIF file:
```
data_NaSn2Pb4
_chemical_formula_sum 'Na2 Sn4 Pb8'
_cell_length_a 4.8600
_cell_length_b 19.3481
_cell_length_c 4.9121
_cell_angle_alpha 90.00
_cell_angle_beta 90.00
_cell_angle_gamma 90.00
_space_group_name_H-M_alt 'C m m m'
_space_group_IT_number 65
_space_group_name_Hall '-C 2 2'
loop_
_atom_site_label
_atom_site_type_symbol
_atom_site_fract_x
_atom_site_fract_y
_atom_site_fract_z
Na1 Na 0.0000 0.0000 0.0000
Sn1 Sn 0.0000 0.4259 0.5000
Pb1 Pb 0.0000 0.1778 0.5000
Pb2 Pb 0.0000 0.3207 0.0000
```

Record 12
Pm2IrPb after structural relaxation, computed with PBE.

Output
total moment	0.000	μB per formula unit
formation energy from the elements	-11.74	kcal/mol of atoms

CIF file:
```
data_Pm2IrPb
_chemical_formula_sum 'Pm6 Ir3 Pb3'
_cell_length_a 3.9902
_cell_length_b 3.9902
_cell_length_c 25.8114
_cell_angle_alpha 90.00
_cell_angle_beta 90.00
_cell_angle_gamma 120.00
_space_group_name_H-M_alt 'R -3 m'
_space_group_IT_number 166
_space_group_name_Hall '-R 3 2"'
loop_
_atom_site_label
_atom_site_type_symbol
_atom_site_fract_x
_atom_site_fract_y
_atom_site_fract_z
Pm1 Pm 0.0000 0.0000 0.2307
Ir1 Ir 0.0000 0.0000 0.5000
Pb1 Pb 0.0000 0.0000 0.0000
```